Computed, not measured: crystalline PdRh2Br at its relaxed geometry at the PBE level of DFT.

Mass density, g/cm3: 9.5
Energy above the lowest structure with this stoichiometry, meV/atom: 0
DOS(E_F), states/eV/cell: 13.53
Energy, eV per formula unit: -19.095

Lattice parameters (Å, degrees): 3.804 3.804 9.815 78.83 78.83 90.00
Sites, in units of the cell vectors:
Pd 0.000 0.000 0.000
Pd 0.750 0.250 0.500
Br 0.500 0.500 0.000
Br 0.250 0.750 0.500
Rh 0.634 0.125 0.250
Rh 0.116 0.625 0.250
Rh 0.875 0.884 0.750
Rh 0.375 0.366 0.750